[1]
A plane-wave DFT calculation with PBE-GGA was carried out for an optimized crystal structure of AlSiMo.

Lattice parameters (Å, degrees): 4.3473 4.3473 2.7257 90.00 90.00 120.00
Fractional coordinates of all 3 atoms:
Mo1 0.6667 0.3333 0.4465
Si1 0.3333 0.6667 0.6045
Al1 0.0000 0.0000 0.9490

Output
As for the crystal system: trigonal. Its raw formation energy is -0.051 eV per atom. The value obtained for the density of states at the Fermi level is 0.8 states/eV/f.u.



[2]
A plane-wave DFT calculation with PBE-GGA was carried out for an optimized crystal structure of TbNdNi2P2.

Lattice parameters (Å, degrees): 3.9282 3.9282 7.9680 90.00 90.00 120.00
Fractional coordinates of all 6 atoms:
Tb1 0.0000 0.0000 0.5000
Nd1 0.0000 0.0000 0.0000
Ni1 0.6667 0.3333 0.2556
Ni2 0.3333 0.6667 0.7444
P1 0.6667 0.3333 0.7410
P2 0.3333 0.6667 0.2590

Output
As for the crystal system: trigonal. The total energy is -38.922 eV for the cell shown. The value obtained for the density of states at the Fermi level is 2.7 states/eV/f.u.



[3]
A plane-wave DFT calculation with PBE-GGA was carried out for an optimized crystal structure of TaTcNi2.

Lattice parameters (Å, degrees): 2.6800 2.6800 7.5314 90.00 90.00 90.00
Fractional coordinates of all 4 atoms:
Ni1 0.0000 0.0000 0.9910
Ni2 0.0000 0.0000 0.5090
Ta1 0.5000 0.5000 0.2500
Tc1 0.5000 0.5000 0.7500

Output
The value obtained for the energy above the most stable polymorph in this dataset is 180 meV/atom. As for the crystal system: tetragonal. The value obtained for the density of states at the Fermi level is 3.9 states/eV/f.u.



[4]
A plane-wave DFT calculation with PBE-GGA was carried out for an optimized crystal structure of Tb3Y2Mg3.

Lattice parameters (Å, degrees): 3.7674 5.4558 11.6905 103.49 99.27 90.00
Fractional coordinates of all 8 atoms:
Tb1 0.6247 0.6247 0.2493
Tb2 0.3753 0.3753 0.7507
Tb3 0.5000 0.0000 0.0000
Y1 0.7345 0.2345 0.4690
Y2 0.2655 0.7655 0.5310
Mg1 0.1167 0.1167 0.2335
Mg2 0.0000 0.5000 0.0000
Mg3 0.8833 0.8833 0.7665

Output
As for the crystal system: orthorhombic. The total energy is -32.085 eV for the cell shown. The value obtained for the density of states at the Fermi level is 10.7 states/eV/f.u.



Repeat the fourth record exactly.
A plane-wave DFT calculation with PBE-GGA was carried out for an optimized crystal structure of Tb3Y2Mg3.

Lattice parameters (Å, degrees): 3.7674 5.4558 11.6905 103.49 99.27 90.00
Fractional coordinates of all 8 atoms:
Tb1 0.6247 0.6247 0.2493
Tb2 0.3753 0.3753 0.7507
Tb3 0.5000 0.0000 0.0000
Y1 0.7345 0.2345 0.4690
Y2 0.2655 0.7655 0.5310
Mg1 0.1167 0.1167 0.2335
Mg2 0.0000 0.5000 0.0000
Mg3 0.8833 0.8833 0.7665

Output
As for the crystal system: orthorhombic. The total energy is -32.085 eV for the cell shown. The value obtained for the density of states at the Fermi level is 10.7 states/eV/f.u.